# 1
Density functional theory data (PBEsol) for a geometry-optimized MgTaPb2 structure.

Its volume is 90.7 Å³/cell. The formation enthalpy at 0 K comes out at 0.39 eV/atom.

a = 3.1490 Å, b = 4.8847 Å, c = 5.8939 Å
α = 90.00°, β = 90.00°, γ = 90.00°
Positions (direct):
1 Mg 0.0000 0.0000 0.0000
2 Ta 0.5000 0.5000 0.7344
3 Pb 0.0000 0.0000 0.5262
4 Pb 0.5000 0.5000 0.2178

# 2
Density functional theory data (PBEsol) for a geometry-optimized MgTa2Pb structure.

Its volume is 83.4 Å³/cell. The formation enthalpy at 0 K comes out at 0.37 eV/atom.

a = 2.9444 Å, b = 2.9444 Å, c = 9.6249 Å
α = 90.00°, β = 90.00°, γ = 90.00°
Positions (direct):
1 Mg 0.0000 0.0000 0.0000
2 Ta 0.0000 0.0000 0.5453
3 Ta 0.5000 0.5000 0.7713
4 Pb 0.5000 0.5000 0.2949

# 3
Density functional theory data (PBEsol) for a geometry-optimized MgTaPb structure.

Its volume is 66.2 Å³/cell. The formation enthalpy at 0 K comes out at 0.36 eV/atom.

a = 7.6473 Å, b = 7.6473 Å, c = 7.6473 Å
α = 157.36°, β = 157.36°, γ = 32.24°
Positions (direct):
1 Mg 0.0000 0.0000 0.0000
2 Ta 0.3574 0.3574 0.0000
3 Pb 0.6978 0.6978 0.0000

# 4
Density functional theory data (PBEsol) for a geometry-optimized Mg2TcPb structure.

Its volume is 73.5 Å³/cell. The formation enthalpy at 0 K comes out at 0.22 eV/atom.

a = 5.2334 Å, b = 5.2334 Å, c = 5.2334 Å
α = 133.76°, β = 133.76°, γ = 67.46°
Positions (direct):
1 Mg 0.0000 0.0000 0.0000
2 Mg 0.7500 0.2500 0.5000
3 Tc 0.2500 0.7500 0.5000
4 Pb 0.5000 0.5000 0.0000

# 5
Density functional theory data (PBEsol) for a geometry-optimized MgTcPb2 structure.

Its volume is 93.5 Å³/cell. The formation enthalpy at 0 K comes out at 0.34 eV/atom.

a = 7.1729 Å, b = 7.1729 Å, c = 7.1729 Å
α = 154.82°, β = 143.35°, γ = 44.99°
Positions (direct):
1 Mg 0.0000 0.0000 0.0000
2 Tc 0.1798 0.6798 0.5000
3 Pb 0.3692 0.3692 0.0000
4 Pb 0.6714 0.1714 0.5000

# 6
Density functional theory data (PBEsol) for a geometry-optimized Mg2TcPb structure.

Its volume is 76.4 Å³/cell. The formation enthalpy at 0 K comes out at 0.33 eV/atom.

a = 2.9335 Å, b = 4.8712 Å, c = 5.3476 Å
α = 90.00°, β = 90.06°, γ = 90.00°
Positions (direct):
1 Mg 0.0000 0.0000 0.0000
2 Mg 0.0035 0.5000 0.6957
3 Tc 0.5018 0.0000 0.5201
4 Pb 0.5018 0.5000 0.2240

Look up the formation enthalpy at 0 K of the second one. 0.37 eV/atom

What did the sixth record say?
Density functional theory data (PBEsol) for a geometry-optimized Mg2TcPb structure.

Its volume is 76.4 Å³/cell. The formation enthalpy at 0 K comes out at 0.33 eV/atom.

a = 2.9335 Å, b = 4.8712 Å, c = 5.3476 Å
α = 90.00°, β = 90.06°, γ = 90.00°
Positions (direct):
1 Mg 0.0000 0.0000 0.0000
2 Mg 0.0035 0.5000 0.6957
3 Tc 0.5018 0.0000 0.5201
4 Pb 0.5018 0.5000 0.2240

formation enthalpy at 0 K of number 4 (Mg2TcPb)? 0.22 eV/atom